# 1
PBE+U RbVCuF6, relaxed; uncorrected energy = -0.374 Ry/atom; size of the total moment = 0.29 μB/atom
1.0
6.945 0.000 0.000
0.000 7.610 0.000
0.000 0.000 10.310
Rb V Cu F
4 4 4 24
direct
0.003 0.250 0.616
0.997 0.750 0.384
0.497 0.750 0.116
0.503 0.250 0.884
0.000 0.000 0.000
0.500 0.000 0.500
0.000 0.500 0.000
0.500 0.500 0.500
0.185 0.250 0.261
0.815 0.750 0.739
0.315 0.750 0.761
0.685 0.250 0.239
0.256 0.065 0.423
0.744 0.935 0.577
0.244 0.935 0.923
0.744 0.565 0.577
0.756 0.065 0.077
0.256 0.435 0.423
0.756 0.435 0.077
0.244 0.565 0.923
0.579 0.250 0.529
0.421 0.750 0.471
0.921 0.750 0.029
0.079 0.250 0.971
0.123 0.501 0.168
0.877 0.499 0.832
0.377 0.499 0.668
0.877 0.001 0.832
0.623 0.501 0.332
0.123 0.999 0.168
0.623 0.999 0.332
0.377 0.001 0.668
0.427 0.250 0.174
0.573 0.750 0.826
0.073 0.750 0.674
0.927 0.250 0.326

# 2
PBE+U RbCuWF6, relaxed; uncorrected energy = -0.367 Ry/atom; size of the total moment = 0.22 μB/atom
1.0
8.069 0.000 0.000
0.000 7.087 0.000
-4.034 -3.544 5.946
Rb Cu W F
2 2 2 12
direct
0.934 0.684 0.868
0.066 0.316 0.132
0.500 0.500 0.000
0.500 0.000 0.000
0.500 0.000 0.500
0.000 0.000 0.500
0.447 0.697 0.895
0.699 0.949 0.397
0.945 0.082 0.274
0.329 0.692 0.274
0.329 0.082 0.274
0.945 0.692 0.274
0.553 0.303 0.105
0.301 0.051 0.603
0.055 0.918 0.726
0.671 0.308 0.726
0.671 0.918 0.726
0.055 0.308 0.726